# 1
# GdHgGe2

A relaxed GdHgGe2 crystal (PBE, Alexandria via LeMat-Bulk).

The space group is P4/mmm (No. 123) and the conventional cell measures 4.541, 4.541 and 4.189 Å, with angles of 90.00, 90.00 and 90.00 degrees. The asymmetric unit holds Gd at (0.000, 0.000, 0.000), Hg at (0.500, 0.500, 0.000) and Ge at (0.000, 0.500, 0.500).

The total energy is -6.30 eV/atom. The calculation puts the relative energy among the computed polymorphs at 0.000 eV per atom. The total magnetic moment is 6.85 μB/cell. As for the energy of formation from the pure elements: -152.5 kJ/mol of formula units.



# 2
# TbNd6Er12

A relaxed TbNd6Er12 crystal (PBE, Alexandria via LeMat-Bulk).

The space group is R-3m (No. 166, hexagonal axes) and the conventional cell measures 11.0671, 11.0671 and 17.4515 Å, with angles of 90.00, 90.00 and 120.00 degrees. The asymmetric unit holds Tb at (0.0000, 0.0000, 0.0000), Nd at (0.0691, 0.5345, 0.7667), Er at (0.1023, 0.5512, 0.4138) and Er at (0.1060, 0.2121, 0.4079).

The total energy is -4.51 eV/atom. The calculation puts the relative energy among the computed polymorphs at 0.000 eV per atom. The total magnetic moment is 0.00 μB/cell. As for the energy of formation from the pure elements: 226.7 kJ/mol of formula units.



# 3
# AcPrPb

A relaxed AcPrPb crystal (PBE, Alexandria via LeMat-Bulk).

The space group is I4mm (No. 107) and the conventional cell measures 4.376, 4.376 and 10.731 Å, with angles of 90.00, 90.00 and 90.00 degrees. The asymmetric unit holds Ac at (0.000, 0.000, 0.000), Pr at (0.000, 0.000, 0.689) and Pb at (0.000, 0.000, 0.334).

The total energy is -4.52 eV/atom. The calculation puts the relative energy among the computed polymorphs at 0.115 eV per atom. The total magnetic moment is 0.00 μB/cell. As for the energy of formation from the pure elements: -94.4 kJ/mol of formula units.



# 4
# FeB2Mo

A relaxed FeB2Mo crystal (PBE, Alexandria via LeMat-Bulk).

The space group is I-42d (No. 122) and the conventional cell measures 3.480, 3.480 and 14.119 Å, with angles of 90.00, 90.00 and 90.00 degrees. The asymmetric unit holds Fe at (0.000, 0.000, 0.000), B at (0.002, 0.750, 0.125) and Mo at (0.000, 0.000, 0.500).

The total energy is -7.75 eV/atom. The calculation puts the relative energy among the computed polymorphs at 0.788 eV per atom. The total magnetic moment is 0.00 μB/cell. As for the energy of formation from the pure elements: 158.8 kJ/mol of formula units.



Number 3 is which compound?
AcPrPb